Version a
Compound: Tb3GaH
Source: the Alexandria database
Functional: PBE
Structure: optimized geometry

## Properties
Theoretical density: 8.42 g cm⁻³

Cell and atoms, written as CIF:
```
data_Tb3GaH
_cell_length_a 4.762
_cell_length_b 4.762
_cell_length_c 4.762
_cell_angle_alpha 90.00
_cell_angle_beta 90.00
_cell_angle_gamma 90.00
_space_group_name_H-M_alt 'P m -3 m'
_space_group_IT_number 221
_space_group_name_Hall '-P 4 2 3'
loop_
_atom_site_label
_atom_site_fract_x
_atom_site_fract_y
_atom_site_fract_z
Tb1 0.000 0.000 0.500
Ga1 0.500 0.500 0.500
H1 0.000 0.000 0.000
```

Version b
Compound: Tb3GaH
Source: the Alexandria database
Functional: PBE
Structure: optimized geometry

## Properties
Theoretical density: 7.97 g cm⁻³

Cell and atoms, written as CIF:
```
data_Tb3GaH
_cell_length_a 7.503
_cell_length_b 3.547
_cell_length_c 8.580
_cell_angle_alpha 90.00
_cell_angle_beta 92.40
_cell_angle_gamma 90.00
_space_group_name_H-M_alt 'P 1 21/m 1'
_space_group_IT_number 11
loop_
_space_group_symop_operation_xyz
'x,y,z'
'-x,-y,-z'
'-x,y+1/2,-z'
'x,-y+1/2,z'
loop_
_atom_site_label
_atom_site_fract_x
_atom_site_fract_y
_atom_site_fract_z
Tb1 0.067 0.250 0.317
Tb2 0.255 0.250 0.954
Tb3 0.352 0.750 0.612
Ga1 0.384 0.750 0.232
H1 0.157 0.250 0.692
```

What is the stability order? It is version b, version a, from most stable to least stable.

Version a
Compound: TbGaH
Source: the Alexandria database
Functional: PBE
Structure: optimized geometry

## Properties
Theoretical density: 7.13 g cm⁻³

Cell and atoms, written as CIF:
```
data_TbGaH
_cell_length_a 3.127
_cell_length_b 3.127
_cell_length_c 10.948
_cell_angle_alpha 90.00
_cell_angle_beta 90.00
_cell_angle_gamma 90.00
_space_group_name_H-M_alt 'I 4 m m'
_space_group_IT_number 107
_space_group_name_Hall 'I 4 -2'
loop_
_atom_site_label
_atom_site_fract_x
_atom_site_fract_y
_atom_site_fract_z
Tb1 0.000 0.000 0.000
Ga1 0.000 0.000 0.279
H1 0.000 0.000 0.546
```

Version b
Compound: TbGaH
Source: the Alexandria database
Functional: PBE
Structure: optimized geometry

## Properties
Theoretical density: 7.95 g cm⁻³

Cell and atoms, written as CIF:
```
data_TbGaH
_cell_length_a 3.982
_cell_length_b 4.123
_cell_length_c 6.171
_cell_angle_alpha 90.00
_cell_angle_beta 108.79
_cell_angle_gamma 90.00
_space_group_name_H-M_alt 'P 1 21/m 1'
_space_group_IT_number 11
loop_
_space_group_symop_operation_xyz
'x,y,z'
'-x,-y,-z'
'-x,y+1/2,-z'
'x,-y+1/2,z'
loop_
_atom_site_label
_atom_site_fract_x
_atom_site_fract_y
_atom_site_fract_z
Tb1 0.157 0.250 0.314
Ga1 0.438 0.250 0.879
H1 0.246 0.750 0.493
```

Version c
Compound: TbGaH
Source: the Alexandria database
Functional: PBE
Structure: optimized geometry

## Properties
Theoretical density: 6.95 g cm⁻³

Cell and atoms, written as CIF:
```
data_TbGaH
_cell_length_a 3.6782
_cell_length_b 3.6782
_cell_length_c 4.6819
_cell_angle_alpha 90.00
_cell_angle_beta 90.00
_cell_angle_gamma 120.00
_space_group_name_H-M_alt 'P 3 m 1'
_space_group_IT_number 156
loop_
_space_group_symop_operation_xyz
'x,y,z'
'-y,x-y,z'
'-x+y,-x,z'
'-y,-x,z'
'-x+y,y,z'
'x,x-y,z'
loop_
_atom_site_label
_atom_site_fract_x
_atom_site_fract_y
_atom_site_fract_z
Tb1 0.0000 0.0000 0.0000
Ga1 0.6667 0.3333 0.5002
H1 0.3333 0.6667 0.9969
```

What is the stability order? It is version b, version c, version a, from most stable to least stable.

Version a
Compound: Ga2TcH
Source: the Alexandria database
Functional: PBE
Structure: optimized geometry

## Properties
Theoretical density: 7.65 g cm⁻³

Cell and atoms, written as CIF:
```
data_Ga2TcH
_cell_length_a 6.070
_cell_length_b 6.309
_cell_length_c 5.404
_cell_angle_alpha 90.00
_cell_angle_beta 90.00
_cell_angle_gamma 90.00
_space_group_name_H-M_alt 'I m m a'
_space_group_IT_number 74
_space_group_name_Hall '-I 2b 2'
loop_
_atom_site_label
_atom_site_fract_x
_atom_site_fract_y
_atom_site_fract_z
Ga1 0.250 0.051 0.250
Tc1 0.000 0.250 0.597
H1 0.000 0.250 0.904
```

Version b
Compound: Ga2TcH
Source: the Alexandria database
Functional: PBE
Structure: optimized geometry

## Properties
Theoretical density: 8.16 g cm⁻³

Cell and atoms, written as CIF:
```
data_Ga2TcH
_cell_length_a 6.307
_cell_length_b 6.307
_cell_length_c 4.879
_cell_angle_alpha 90.00
_cell_angle_beta 90.00
_cell_angle_gamma 90.00
_space_group_name_H-M_alt 'I -4 2 d'
_space_group_IT_number 122
_space_group_name_Hall 'I -4 2bw'
loop_
_atom_site_label
_atom_site_fract_x
_atom_site_fract_y
_atom_site_fract_z
Ga1 0.172 0.250 0.125
Tc1 0.000 0.000 0.500
H1 0.000 0.000 0.000
```

What is the stability order? It is version a, version b, from most stable to least stable.

Version a
Compound: Ga2TcH
Source: the Alexandria database
Functional: PBE
Structure: optimized geometry

## Properties
Theoretical density: 7.32 g cm⁻³

Cell and atoms, written as CIF:
```
data_Ga2TcH
_cell_length_a 6.004
_cell_length_b 6.004
_cell_length_c 6.004
_cell_angle_alpha 90.00
_cell_angle_beta 90.00
_cell_angle_gamma 90.00
_space_group_name_H-M_alt 'F m -3 m'
_space_group_IT_number 225
_space_group_name_Hall '-F 4 2 3'
loop_
_atom_site_label
_atom_site_fract_x
_atom_site_fract_y
_atom_site_fract_z
Ga1 0.250 0.250 0.250
Tc1 0.000 0.000 0.000
H1 0.000 0.000 0.500
```

Version b
Compound: Ga2TcH
Source: the Alexandria database
Functional: PBE
Structure: optimized geometry

## Properties
Theoretical density: 7.15 g cm⁻³

Cell and atoms, written as CIF:
```
data_Ga2TcH
_cell_length_a 2.9340
_cell_length_b 2.9340
_cell_length_c 22.2816
_cell_angle_alpha 90.00
_cell_angle_beta 90.00
_cell_angle_gamma 120.00
_space_group_name_H-M_alt 'R -3 m'
_space_group_IT_number 166
_space_group_name_Hall '-R 3 2"'
loop_
_atom_site_label
_atom_site_fract_x
_atom_site_fract_y
_atom_site_fract_z
Ga1 0.0000 0.0000 0.0787
Tc1 0.0000 0.0000 0.5000
H1 0.0000 0.0000 0.0000
```

What is the stability order? It is version b, version a, from most stable to least stable.

Version a
Compound: GaTcH2
Source: the Alexandria database
Functional: PBE
Structure: optimized geometry

## Properties
Theoretical density: 7.21 g cm⁻³

Cell and atoms, written as CIF:
```
data_GaTcH2
_cell_length_a 3.695
_cell_length_b 3.695
_cell_length_c 11.449
_cell_angle_alpha 90.00
_cell_angle_beta 90.00
_cell_angle_gamma 90.00
_space_group_name_H-M_alt 'I -4 2 d'
_space_group_IT_number 122
_space_group_name_Hall 'I -4 2bw'
loop_
_atom_site_label
_atom_site_fract_x
_atom_site_fract_y
_atom_site_fract_z
Ga1 0.000 0.000 0.000
Tc1 0.000 0.000 0.500
H1 0.159 0.250 0.625
```

Version b
Compound: GaTcH2
Source: the Alexandria database
Functional: PBE
Structure: optimized geometry

## Properties
Theoretical density: 7.89 g cm⁻³

Cell and atoms, written as CIF:
```
data_GaTcH2
_cell_length_a 5.228
_cell_length_b 5.228
_cell_length_c 5.228
_cell_angle_alpha 90.00
_cell_angle_beta 90.00
_cell_angle_gamma 90.00
_space_group_name_H-M_alt 'F m -3 m'
_space_group_IT_number 225
_space_group_name_Hall '-F 4 2 3'
loop_
_atom_site_label
_atom_site_fract_x
_atom_site_fract_y
_atom_site_fract_z
Ga1 0.000 0.000 0.000
Tc1 0.000 0.000 0.500
H1 0.250 0.250 0.250
```

What is the stability order? It is version a, version b, from most stable to least stable.

Version a
Compound: GaTcH2
Source: the Alexandria database
Functional: PBE
Structure: optimized geometry

## Properties
Theoretical density: 7.43 g cm⁻³

Cell and atoms, written as CIF:
```
data_GaTcH2
_cell_length_a 3.0276
_cell_length_b 3.0276
_cell_length_c 14.3292
_cell_angle_alpha 90.00
_cell_angle_beta 90.00
_cell_angle_gamma 120.00
_space_group_name_H-M_alt 'R 3 m'
_space_group_IT_number 160
_space_group_name_Hall 'R 3 -2"'
loop_
_atom_site_label
_atom_site_fract_x
_atom_site_fract_y
_atom_site_fract_z
Ga1 0.0000 0.0000 0.0000
Tc1 0.0000 0.0000 0.8157
H1 0.0000 0.0000 0.2064
H2 0.0000 0.0000 0.4412
```

Version b
Compound: GaTcH2
Source: the Alexandria database
Functional: PBE
Structure: optimized geometry

## Properties
Theoretical density: 6.65 g cm⁻³

Cell and atoms, written as CIF:
```
data_GaTcH2
_cell_length_a 2.8159
_cell_length_b 2.8159
_cell_length_c 18.5101
_cell_angle_alpha 90.00
_cell_angle_beta 90.00
_cell_angle_gamma 120.00
_space_group_name_H-M_alt 'R -3 m'
_space_group_IT_number 166
_space_group_name_Hall '-R 3 2"'
loop_
_atom_site_label
_atom_site_fract_x
_atom_site_fract_y
_atom_site_fract_z
Ga1 0.0000 0.0000 0.0000
Tc1 0.0000 0.0000 0.5000
H1 0.0000 0.0000 0.1159
```

What is the stability order? It is version a, version b, from most stable to least stable.

Version a
Compound: GaTc3H
Source: the Alexandria database
Functional: PBE
Structure: optimized geometry

## Properties
Theoretical density: 9.95 g cm⁻³

Cell and atoms, written as CIF:
```
data_GaTc3H
_cell_length_a 3.934
_cell_length_b 3.934
_cell_length_c 3.934
_cell_angle_alpha 90.00
_cell_angle_beta 90.00
_cell_angle_gamma 90.00
_space_group_name_H-M_alt 'P m -3 m'
_space_group_IT_number 221
_space_group_name_Hall '-P 4 2 3'
loop_
_atom_site_label
_atom_site_fract_x
_atom_site_fract_y
_atom_site_fract_z
Ga1 0.000 0.000 0.000
Tc1 0.000 0.500 0.500
H1 0.500 0.500 0.500
```

Version b
Compound: GaTc3H
Source: the Alexandria database
Functional: PBE
Structure: optimized geometry

## Properties
Theoretical density: 6.42 g cm⁻³

Cell and atoms, written as CIF:
```
data_GaTc3H
_cell_length_a 4.552
_cell_length_b 4.552
_cell_length_c 4.552
_cell_angle_alpha 90.00
_cell_angle_beta 90.00
_cell_angle_gamma 90.00
_space_group_name_H-M_alt 'P m -3 m'
_space_group_IT_number 221
_space_group_name_Hall '-P 4 2 3'
loop_
_atom_site_label
_atom_site_fract_x
_atom_site_fract_y
_atom_site_fract_z
Ga1 0.000 0.000 0.000
Tc1 0.000 0.000 0.500
H1 0.500 0.500 0.500
```

What is the stability order? It is version a, version b, from most stable to least stable.

Version a
Compound: GaTcH3
Source: the Alexandria database
Functional: PBE
Structure: optimized geometry

## Properties
Theoretical density: 6.98 g cm⁻³

Cell and atoms, written as CIF:
```
data_GaTcH3
_cell_length_a 3.437
_cell_length_b 3.437
_cell_length_c 3.437
_cell_angle_alpha 90.00
_cell_angle_beta 90.00
_cell_angle_gamma 90.00
_space_group_name_H-M_alt 'P m -3 m'
_space_group_IT_number 221
_space_group_name_Hall '-P 4 2 3'
loop_
_atom_site_label
_atom_site_fract_x
_atom_site_fract_y
_atom_site_fract_z
Ga1 0.000 0.000 0.000
Tc1 0.500 0.500 0.500
H1 0.000 0.000 0.500
```

Version b
Compound: GaTcH3
Source: the Alexandria database
Functional: PBE
Structure: optimized geometry

## Properties
Theoretical density: 6.64 g cm⁻³

Cell and atoms, written as CIF:
```
data_GaTcH3
_cell_length_a 3.496
_cell_length_b 3.496
_cell_length_c 3.496
_cell_angle_alpha 90.00
_cell_angle_beta 90.00
_cell_angle_gamma 90.00
_space_group_name_H-M_alt 'P m -3 m'
_space_group_IT_number 221
_space_group_name_Hall '-P 4 2 3'
loop_
_atom_site_label
_atom_site_fract_x
_atom_site_fract_y
_atom_site_fract_z
Ga1 0.000 0.000 0.000
Tc1 0.500 0.500 0.500
H1 0.000 0.500 0.500
```

What is the stability order? It is version b, version a, from most stable to least stable.